PBE-GGA Mn2Cu2AsP, relaxed; size of the total moment = 6.59 μB per formula unit; E_form = -0.070 eV/atom
1.0
3.5724 0.0000 0.0000
0.0000 6.1414 0.0000
0.0000 0.0000 7.4650
Mn Cu As P
4 4 2 2
direct
0.5000 0.4590 0.3904 Mn
0.0000 0.5326 0.0832 Mn
0.0000 0.0326 0.9168 Mn
0.5000 0.9590 0.6096 Mn
0.5000 0.8660 0.1774 Cu
0.0000 0.6416 0.7057 Cu
0.5000 0.3660 0.8226 Cu
0.0000 0.1416 0.2943 Cu
0.0000 0.2536 0.6061 As
0.0000 0.7536 0.3939 As
0.5000 0.2472 0.1108 P
0.5000 0.7472 0.8892 P


PBE-GGA Pr2Mn3Cu9As7, relaxed; size of the total moment = 13.04 μB per formula unit; E_form = -0.310 eV/atom
1.0
9.9263 0.0000 0.0000
-4.9632 8.5965 0.0000
0.0000 0.0000 4.0116
Cu Pr As Mn
9 2 7 3
direct
0.9066 0.6182 0.0000 Cu
0.7115 0.0934 0.0000 Cu
0.9563 0.2450 0.5000 Cu
0.2099 0.8252 0.0000 Cu
0.1748 0.3847 0.0000 Cu
0.3818 0.2885 0.0000 Cu
0.2887 0.0437 0.5000 Cu
0.6153 0.7901 0.0000 Cu
0.7550 0.7113 0.5000 Cu
0.0000 0.0000 0.0000 Pr
0.6667 0.3333 0.5000 Pr
0.6249 0.5451 0.0000 As
0.4549 0.0798 0.0000 As
0.7469 0.9633 0.5000 As
0.9202 0.3751 0.0000 As
0.0367 0.7836 0.5000 As
0.2164 0.2531 0.5000 As
0.3333 0.6667 0.0000 As
0.1127 0.5708 0.5000 Mn
0.4581 0.8873 0.5000 Mn
0.4292 0.5419 0.5000 Mn